[1]
Material: Ac2UP3Rh12
Method: DFT, PBE
State: relaxed

Properties
uncorrected energy = -7.28 eV/atom
size of the total moment = 0.000 μB per atom
mass density = 9.612 g cm⁻³
DFT formation energy = -0.398 eV per atom

```
Ac2UP3Rh12
1.0
4.096 2.365 6.005
-4.096 2.365 6.005
0.000 -4.729 6.005
Ac U P Rh
2 1 3 12
Direct
0.104 0.104 0.104
0.896 0.896 0.896
0.500 0.500 0.500
0.000 0.500 0.500
0.500 0.000 0.500
0.500 0.500 0.000
0.124 0.627 0.627
0.165 0.165 0.589
0.165 0.589 0.165
0.373 0.373 0.876
0.373 0.876 0.373
0.411 0.835 0.835
0.589 0.165 0.165
0.627 0.124 0.627
0.627 0.627 0.124
0.835 0.411 0.835
0.835 0.835 0.411
0.876 0.373 0.373
```

=====

[2]
Material: Ac2UP3Rh4
Method: DFT, PBE
State: relaxed

Properties
uncorrected energy = -7.41 eV/atom
size of the total moment = 0.274 μB per atom
mass density = 10.239 g cm⁻³
DFT formation energy = -0.893 eV per atom

```
Ac2UP3Rh4
1.0
4.177 0.000 0.000
0.000 4.177 0.000
0.000 0.000 11.125
Ac U P Rh
2 1 3 4
Direct
0.000 0.500 0.230
0.500 0.000 0.770
0.000 0.000 0.500
0.000 0.500 0.879
0.500 0.000 0.121
0.500 0.500 0.500
0.000 0.000 0.000
0.000 0.500 0.656
0.500 0.000 0.344
0.500 0.500 0.000
```

=====

[3]
Material: Ac2UPRh6
Method: DFT, PBE
State: relaxed

Properties
uncorrected energy = -7.61 eV/atom
size of the total moment = 0.010 μB per atom
mass density = 11.024 g cm⁻³
DFT formation energy = -0.712 eV per atom

```
Ac2UPRh6
1.0
6.241 0.000 0.000
-3.121 5.405 0.000
0.000 0.000 5.985
Ac U P Rh
2 1 1 6
Direct
0.333 0.667 0.298
0.667 0.333 0.702
0.000 0.000 0.500
0.000 0.000 0.000
0.184 0.368 0.796
0.184 0.816 0.796
0.368 0.184 0.204
0.632 0.816 0.796
0.816 0.184 0.204
0.816 0.632 0.204
```

=====

[4]
Material: AcZnPRh3
Method: DFT, PBE
State: relaxed

Properties
uncorrected energy = -6.11 eV/atom
size of the total moment = 0.000 μB per atom
mass density = 8.577 g cm⁻³
DFT formation energy = -0.636 eV per atom

```
AcZnPRh3
1.0
2.914 -7.071 0.000
2.914 7.071 0.000
0.000 0.000 5.940
Ac Zn P Rh
2 2 2 6
Direct
0.245 0.755 0.750
0.755 0.245 0.250
0.103 0.897 0.250
0.897 0.103 0.750
0.437 0.563 0.250
0.563 0.437 0.750
0.251 0.251 0.000
0.251 0.251 0.500
0.279 0.721 0.250
0.721 0.279 0.750
0.749 0.749 0.000
0.749 0.749 0.500
```

=====

[5]
Material: AcZnPRh6
Method: DFT, PBE
State: relaxed

Properties
uncorrected energy = -6.27 eV/atom
size of the total moment = 0.000 μB per atom
mass density = 9.734 g cm⁻³
DFT formation energy = -0.165 eV per atom

```
AcZnPRh6
1.0
-3.014 4.621 5.762
3.014 -4.621 5.762
3.014 4.621 -5.762
Ac Zn P Rh
2 2 2 12
Direct
0.424 0.174 0.250
0.576 0.826 0.750
0.000 0.000 0.500
0.000 0.500 0.000
0.000 0.500 0.500
0.500 0.500 0.000
0.113 0.363 0.216
0.113 0.897 0.750
0.174 0.924 0.250
0.306 0.556 0.750
0.353 0.103 0.716
0.353 0.637 0.250
0.647 0.363 0.750
0.647 0.897 0.284
0.694 0.444 0.250
0.826 0.076 0.750
0.887 0.103 0.250
0.887 0.637 0.784
```

=====

[6]
Material: AcZnPRh2
Method: DFT, PBE
State: relaxed

Properties
uncorrected energy = -5.80 eV/atom
size of the total moment = 0.000 μB per atom
mass density = 9.377 g cm⁻³
DFT formation energy = -0.705 eV per atom

```
AcZnPRh2
1.0
-1.967 2.113 5.635
1.967 -2.113 5.635
1.967 2.113 -5.635
Ac Zn P Rh
1 1 1 2
Direct
0.000 0.000 0.000
0.258 0.758 0.500
0.626 0.626 0.000
0.415 0.415 0.000
0.742 0.242 0.500
```

=====

[7]
Material: AcZn2PRh2
Method: DFT, PBE
State: relaxed

Properties
uncorrected energy = -5.01 eV/atom
size of the total moment = 0.000 μB per atom
mass density = 8.280 g cm⁻³
DFT formation energy = -0.552 eV per atom

```
AcZn2PRh2
1.0
4.500 0.000 0.000
0.000 4.500 0.000
0.000 0.000 5.888
Ac Zn P Rh
1 2 1 2
Direct
0.000 0.000 0.000
0.500 0.500 0.239
0.500 0.500 0.761
0.000 0.000 0.500
0.000 0.500 0.500
0.500 0.000 0.500
```

=====

[8]
Material: AcPRu
Method: DFT, PBE
State: relaxed

Properties
energy above the lowest structure with this stoichiometry = 0.046 eV per atom
uncorrected energy = -7.16 eV/atom
size of the total moment = 0.000 μB per atom
mass density = 8.946 g cm⁻³
DFT formation energy = -0.896 eV per atom

```
AcPRu
1.0
6.297 0.000 0.000
0.000 5.991 0.000
-3.121 0.000 7.067
Ac P Ru
4 4 4
Direct
0.194 0.145 0.372
0.194 0.355 0.872
0.806 0.645 0.128
0.806 0.855 0.628
0.285 0.657 0.558
0.285 0.843 0.058
0.715 0.157 0.942
0.715 0.343 0.442
0.400 0.593 0.310
0.400 0.907 0.810
0.600 0.093 0.190
0.600 0.407 0.690
```